No. 1
First-principles (meta-GGA SCAN) data for a PBEsol-optimized structure of ZrNb2SnIr, as listed in the Alexandria database.

Results
* magnetization: 0.0 Bohr magnetons per cell
* SG: No. 123
* uncorrected energy: -40.21 eV per atom

abc: 4.8719 4.8719 4.8732
angles: 90.00 90.00 90.00
Fractional positions:
Nb1 0.0000 0.5000 0.0000
Nb2 0.5000 0.0000 0.0000
Ir1 0.0000 0.0000 0.0000
Sn1 0.0000 0.0000 0.5000
Zr1 0.5000 0.5000 0.5000

=====

No. 2
First-principles (meta-GGA SCAN) data for a PBEsol-optimized structure of SrNb2Ir2, as listed in the Alexandria database.

Results
* magnetization: 0.0 Bohr magnetons per cell
* SG: No. 139
* uncorrected energy: -46.74 eV per atom

abc: 4.4750 4.4750 6.0959
angles: 111.53 111.53 90.00
Fractional positions:
Sr1 0.0000 0.0000 0.0000
Nb1 0.2500 0.7500 0.5000
Nb2 0.7500 0.2500 0.5000
Ir1 0.3733 0.3733 0.7465
Ir2 0.6267 0.6267 0.2535

=====

No. 3
First-principles (meta-GGA SCAN) data for a PBEsol-optimized structure of Ta2NbIr, as listed in the Alexandria database.

Results
* magnetization: 0.0 Bohr magnetons per cell
* SG: No. 225
* uncorrected energy: -59.87 eV per atom

abc: 4.5260 4.5260 4.5260
angles: 60.00 60.00 60.00
Fractional positions:
Nb1 0.0000 0.0000 0.0000
Ir1 0.5000 0.5000 0.5000
Ta1 0.2500 0.2500 0.2500
Ta2 0.7500 0.7500 0.7500

=====

No. 4
First-principles (meta-GGA SCAN) data for a PBEsol-optimized structure of NbTcIr3, as listed in the Alexandria database.

Results
* magnetization: 4.8 Bohr magnetons per cell
* SG: No. 221
* uncorrected energy: -54.36 eV per atom

abc: 4.6729 4.6729 4.6729
angles: 90.00 90.00 90.00
Fractional positions:
Nb1 0.0000 0.0000 0.0000
Ir1 0.0000 0.5000 0.0000
Ir2 0.0000 0.0000 0.5000
Ir3 0.5000 0.0000 0.0000
Tc1 0.5000 0.5000 0.5000

=====

No. 5
First-principles (meta-GGA SCAN) data for a PBEsol-optimized structure of NbTc3Ir, as listed in the Alexandria database.

Results
* magnetization: 1.2 Bohr magnetons per cell
* SG: No. 221
* uncorrected energy: -39.68 eV per atom

abc: 4.5472 4.5472 4.5472
angles: 90.00 90.00 90.00
Fractional positions:
Nb1 0.0000 0.0000 0.0000
Ir1 0.5000 0.5000 0.5000
Tc1 0.0000 0.5000 0.0000
Tc2 0.0000 0.0000 0.5000
Tc3 0.5000 0.0000 0.0000

=====

No. 6
First-principles (meta-GGA SCAN) data for a PBEsol-optimized structure of Nb3TeIr, as listed in the Alexandria database.

Results
* raw formation energy: 1831 meV/atom
* magnetization: 0.0 Bohr magnetons per cell
* SG: No. 221

abc: 4.8592 4.8592 4.8592
angles: 90.00 90.00 90.00
Fractional positions:
Nb1 0.0000 0.5000 0.0000
Nb2 0.0000 0.0000 0.5000
Nb3 0.5000 0.0000 0.0000
Ir1 0.5000 0.5000 0.5000
Te1 0.0000 0.0000 0.0000